No. 1
18
Lattice="-4.198 -2.638 5.667 -0.124 -6.597 -3.162 6.433 1.351 5.394" Properties=species:S:1:pos:R:3 comment="Ho5Zn2Rh2, relaxed, DFT PBE" sg="Cmce (64)" delta_e_f_ev_per_fu=-4.8 volume_a3_per_cell=422.92 n_ef_per_ev_cell=10.0 magmom_total_mub_per_fu=0.00 pbc="T T T"
Zn 0.553 -5.447 2.877
Zn 2.714 -0.830 1.625
Zn 3.595 -4.416 0.608
Zn 1.558 -2.437 5.023
Ho -2.161 -4.617 1.253
Ho 0.000 0.000 0.000
Ho -1.902 -7.133 3.534
Ho 0.877 -3.109 0.945
Ho 1.234 -4.774 6.955
Ho 0.179 -6.808 0.224
Ho 4.013 -0.750 4.366
Ho -1.203 -3.434 4.255
Ho 1.932 -1.076 7.676
Ho 3.314 -4.449 3.645
Rh -1.552 -1.816 1.666
Rh -2.770 -7.418 0.839
Rh -0.640 -4.502 -1.229
Rh -3.682 -4.732 3.735

=====

No. 2
16
Lattice="-0.081 1.913 4.288 -6.570 -0.578 0.133 0.828 -8.543 3.828" Properties=species:S:1:pos:R:3 comment="Ho3ZnRh4, relaxed, DFT PBE" sg="P4/mmm (123)" delta_e_f_ev_per_fu=-6.2 volume_a3_per_cell=291.13 n_ef_per_ev_cell=6.4 magmom_total_mub_per_fu=0.00 pbc="T T T"
Rh -1.730 0.808 2.178
Rh -1.482 -2.284 0.992
Rh -4.673 -2.564 1.057
Rh -1.149 -4.643 7.192
Rh -1.316 -3.463 4.092
Rh -4.507 -3.744 4.157
Rh -4.921 0.528 2.243
Rh -4.340 -4.923 7.256
Ho 0.000 0.000 0.000
Ho 0.166 -1.179 3.101
Ho 0.414 -4.271 1.914
Ho -3.118 -1.467 3.169
Ho 0.581 -5.451 5.014
Ho -2.704 -5.740 5.080
Zn -3.285 -0.289 0.067
Zn -2.871 -4.560 1.980

=====

No. 3
7
Lattice="-5.322 -0.845 2.668 4.233 -3.024 3.016 1.300 5.871 -0.017" Properties=species:S:1:pos:R:3 comment="Ho4Zn2Rh, relaxed, DFT PBE" sg="I4/mmm (139)" delta_e_f_ev_per_fu=-2.7 volume_a3_per_cell=167.36 n_ef_per_ev_cell=5.4 magmom_total_mub_per_fu=0.00 pbc="T T T"
Zn -0.545 -1.935 2.842
Zn -2.011 2.513 1.325
Rh 0.000 0.000 0.000
Ho 2.116 -1.512 1.508
Ho -2.661 -0.422 1.334
Ho 0.650 2.935 -0.009
Ho 0.105 1.001 2.833

=====

No. 4
4
Lattice="-0.323 -4.736 0.751 3.904 -2.771 -0.419 1.992 -1.954 3.914" Properties=species:S:1:pos:R:3 comment="HoZrZnRh, relaxed, DFT PBE" sg="F-43m (216)" delta_e_f_ev_per_fu=-2.0 volume_a3_per_cell=78.50 n_ef_per_ev_cell=4.1 magmom_total_mub_per_fu=0.00 pbc="T T T"
Rh 2.786 -4.730 2.123
Ho 4.180 -7.096 3.184
Zr 1.393 -2.365 1.061
Zn 0.000 0.000 0.000

=====

No. 5
20
Lattice="-0.819 -4.476 0.900 7.880 -1.252 0.947 -3.656 2.444 8.828" Properties=species:S:1:pos:R:3 comment="HoZr3Rh6, relaxed, DFT PBE" sg="P2_1/m (11)" delta_e_f_ev_per_fu=-7.6 volume_a3_per_cell=351.06 n_ef_per_ev_cell=9.6 magmom_total_mub_per_fu=0.00 pbc="T T T"
Zr 2.502 -0.832 4.118
Zr 3.677 -3.685 2.952
Zr 2.499 0.282 9.660
Zr 0.903 -2.453 6.556
Zr 0.906 -3.567 1.014
Zr -0.272 0.400 7.722
Rh 2.262 -0.225 6.921
Rh 5.274 -1.454 3.549
Rh 6.161 -4.237 2.470
Rh 3.191 -2.462 8.595
Rh -2.756 0.952 8.204
Rh 2.974 -1.448 1.485
Rh 0.431 -1.837 9.189
Rh 0.214 -0.823 2.079
Rh 3.426 -3.093 5.672
Rh 1.143 -3.060 3.754
Rh -1.869 -1.831 7.125
Rh -0.021 -0.192 5.003
Ho -1.557 -2.479 4.188
Ho 4.962 -0.806 6.486

=====

No. 6
6
Lattice="3.365 0.000 0.973 1.897 4.829 -0.256 -0.115 -1.658 6.699" Properties=species:S:1:pos:R:3 comment="HoZrRh4, relaxed, DFT PBE" sg="C2/m (12)" delta_e_f_ev_per_fu=-2.7 volume_a3_per_cell=104.89 n_ef_per_ev_cell=7.8 magmom_total_mub_per_fu=0.00 pbc="T T T"
Rh 1.454 2.257 1.276
Rh 4.096 3.561 4.748
Rh 1.051 -0.390 2.669
Rh 3.693 0.914 6.140
Ho 0.000 0.000 0.000
Zr 2.574 1.585 3.708

=====

No. 7
3
Lattice="3.407 0.000 0.000 0.000 3.407 0.000 -1.703 -1.703 5.586" Properties=species:S:1:pos:R:3 comment="HoZrRh, relaxed, DFT PBE" sg="I4mm (107)" delta_e_f_ev_per_fu=-1.4 volume_a3_per_cell=64.83 n_ef_per_ev_cell=4.1 magmom_total_mub_per_fu=0.68 pbc="T T T"
Ho 0.000 0.000 0.167
Rh 1.703 1.703 1.994
Zr 0.000 0.000 3.425

=====

No. 8
6
Lattice="3.303 0.000 0.000 0.000 3.303 0.000 0.000 0.000 10.286" Properties=species:S:1:pos:R:3 comment="HoZr2Rh3, relaxed, DFT PBE" sg="P4/mmm (123)" delta_e_f_ev_per_fu=-4.9 volume_a3_per_cell=112.23 n_ef_per_ev_cell=5.8 magmom_total_mub_per_fu=0.00 pbc="T T T"
Ho 1.652 1.652 5.143
Rh 0.000 0.000 0.000
Rh 0.000 0.000 3.230
Rh 0.000 0.000 7.055
Zr 1.652 1.652 1.684
Zr 1.652 1.652 8.602